Density functional theory data (GGA-PBE) for an optimized crystal structure of BaGePt3.

Output
**DFT formation energy**: 1658 meV per atom
**Distance to the lowest polymorph of the same formula**: 2132 meV per atom
**Raw total energy**: -0.120 hartree per atom
**ρ**: 8602 kg/m³

Cell: 5.3545 5.3545 5.3545 Å, 90.00 90.00 90.00°
Closest atoms and distances in Å follow each position.
Fractional coordinates of all 5 atoms:
Ba 0.0000 0.0000 0.0000  6 Pt 2.68
Ge 0.5000 0.5000 0.5000  12 Pt 3.79
Pt 0.0000 0.0000 0.5000  2 Ba 2.68
Pt 0.0000 0.5000 0.0000  2 Ba 2.68
Pt 0.5000 0.0000 0.0000  2 Ba 2.68

***

Density functional theory data (GGA-PBE) for an optimized crystal structure of NaZnC2.

Output
**DFT formation energy**: 1546 meV per atom
**Raw total energy**: -0.136 hartree per atom
**ρ**: 3501 kg/m³

Cell: 7.4689 7.4689 7.4689 Å, 149.56 149.56 43.58°
Closest atoms and distances in Å follow each position.
Fractional coordinates of all 8 atoms:
Na 0.3750 0.6250 0.7500  4 Zn 2.77, 8 C 2.79
Na 0.6250 0.3750 0.2500  4 Zn 2.77, 8 C 2.79
Zn 0.1250 0.8750 0.2500  4 C 1.99
Zn 0.8750 0.1250 0.7500  4 C 1.99
C 0.0000 0.0000 0.0000  2 C 1.96, 2 Zn 1.99
C 0.0000 0.0000 0.5000  2 C 1.96, 2 Zn 1.99
C 0.0000 0.5000 0.0000  2 C 1.96, 2 Zn 1.99
C 0.5000 0.0000 0.5000  2 C 1.96, 2 Zn 1.99

***

Density functional theory data (GGA-PBE) for an optimized crystal structure of Nd12Dy7Zr.

Output
**DFT formation energy**: 213 meV per atom
**Raw total energy**: -0.172 hartree per atom
**ρ**: 7128 kg/m³

Cell: 11.5134 11.5134 11.5134 Å, 116.84 116.84 116.84°
Closest atoms and distances in Å follow each position.
Fractional coordinates of all 20 atoms:
Nd 0.0005 0.4125 0.5878  3 Nd 3.39-3.44, 2 Dy 3.40
Nd 0.9995 0.5875 0.4122  3 Nd 3.39-3.44, 2 Dy 3.40
Nd 0.0732 0.0737 0.4267  4 Dy 3.32-3.61, 1 Nd 3.34
Nd 0.0737 0.4267 0.0732  4 Dy 3.32-3.61, 1 Nd 3.34
Nd 0.4122 0.9995 0.5875  3 Nd 3.39-3.44, 2 Dy 3.40
Nd 0.4125 0.5878 0.0005  3 Nd 3.39-3.44, 2 Dy 3.40
Nd 0.4267 0.0732 0.0737  4 Dy 3.32-3.61, 1 Nd 3.34
Nd 0.5733 0.9268 0.9263  4 Dy 3.32-3.61, 1 Nd 3.34
Nd 0.5878 0.0005 0.4125  3 Nd 3.39-3.44, 2 Dy 3.40
Nd 0.5875 0.4122 0.9995  3 Nd 3.39-3.44, 2 Dy 3.40
Nd 0.9263 0.5733 0.9268  4 Dy 3.32-3.61, 1 Nd 3.34
Nd 0.9268 0.9263 0.5733  4 Dy 3.32-3.61, 1 Nd 3.34
Dy 0.0000 0.0000 0.0000  2 Zr 3.10, 6 Dy 3.32
Dy 0.1427 0.3845 0.3838  1 Zr 2.99, 1 Dy 3.32, 1 Nd 3.32
Dy 0.3838 0.1427 0.3845  1 Zr 2.99, 1 Dy 3.32, 1 Nd 3.32
Dy 0.3845 0.3838 0.1427  1 Zr 2.99, 1 Dy 3.32, 1 Nd 3.32
Dy 0.6155 0.6162 0.8573  1 Zr 2.99, 1 Dy 3.32, 1 Nd 3.32
Dy 0.6162 0.8573 0.6155  1 Zr 2.99, 1 Dy 3.32, 1 Nd 3.32
Dy 0.8573 0.6155 0.6162  1 Zr 2.99, 1 Dy 3.32, 1 Nd 3.32
Zr 0.5000 0.5000 0.5000  8 Dy 2.99-3.10